Entry from Alexandria: an optimized crystal structure of Rb2CdBr7 (PBE).

Cell and atoms, written as POSCAR:
```
Rb2CdBr7
1.0
-4.1783 4.1783 5.5597
4.1783 -4.1783 5.5597
4.1783 4.1783 -5.5597
Rb Cd Br
2 1 7
direct
0.2500 0.7500 0.5000 Rb
0.7500 0.2500 0.5000 Rb
0.0000 0.0000 0.0000 Cd
0.2248 0.2248 0.4496 Br
0.2248 0.7752 0.0000 Br
0.2714 0.2714 0.0000 Br
0.5000 0.5000 0.0000 Br
0.7286 0.7286 0.0000 Br
0.7752 0.2248 0.0000 Br
0.7752 0.7752 0.5504 Br
```

Output
E_form (uncorrected): -0.854 eV/atom
Total DFT energy (no corrections): -23.104 eV/f.u.